[1]
DFT (PBE-GGA) results for a relaxed Pr2NdTmH crystal.

Cell: 5.1738 5.1738 5.0620 Å, 90.00 90.00 90.00°
Last column: nearest neighbours and their distance in Å.
Fractional positions:
Pr1 0.0000 0.5000 0.0000  2 H 2.59
Pr2 0.5000 0.0000 0.0000  2 H 2.59
Nd1 0.0000 0.0000 0.5000  8 Pr 3.62, 4 Tm 3.66
Tm1 0.5000 0.5000 0.5000  2 H 2.53
H1 0.5000 0.5000 0.0000  2 Tm 2.53, 4 Pr 2.59

Computed properties:
Its calculated volume is 27.10 Å³/atom. The calculation puts the density of states at the Fermi level at 3.93 states/eV/f.u. As for the theoretical density: 7.30 g/cm³. For the uncorrected energy, the calculation gives -23.0 eV/f.u.


[2]
DFT (PBE-GGA) results for a relaxed Nd3HPt8 crystal.

Cell: 9.4802 9.4802 9.4802 Å, 33.68 33.68 33.68°
Last column: nearest neighbours and their distance in Å.
Fractional positions:
Nd1 0.0000 0.0000 0.0000  12 Pt 3.03-3.37, 3 H 3.35
Nd2 0.1318 0.1318 0.1318  12 Pt 3.17-3.24, 4 Nd 3.53-3.54
Nd3 0.5236 0.5236 0.5236  9 Pt 3.02-3.31
H1 0.7071 0.7071 0.7071  3 Pt 1.84
Pt1 0.0732 0.0732 0.5662  6 Pt 2.71-2.78, 3 Nd 3.02-3.03
Pt2 0.0732 0.5662 0.0732  6 Pt 2.71-2.78, 3 Nd 3.02-3.03
Pt3 0.0814 0.5682 0.5682  1 H 1.84
Pt4 0.3208 0.3208 0.3208  6 Pt 2.72-2.76
Pt5 0.5662 0.0732 0.0732  6 Pt 2.71-2.78, 3 Nd 3.02-3.03
Pt6 0.5682 0.0814 0.5682  1 H 1.84
Pt7 0.5682 0.5682 0.0814  1 H 1.84
Pt8 0.8219 0.8219 0.8219  6 Pt 2.73-2.75

Computed properties:
Its calculated volume is 19.45 Å³/atom. The calculation puts the density of states at the Fermi level at 7.32 states/eV/f.u. As for the theoretical density: 14.19 g/cm³. For the uncorrected energy, the calculation gives -76.4 eV/f.u.


[3]
DFT (PBE-GGA) results for a relaxed NdH12Pt4 crystal.

Cell: 6.1378 6.1378 6.1378 Å, 109.47 109.47 109.47°
Last column: nearest neighbours and their distance in Å.
Fractional positions:
Nd1 0.0000 0.0000 0.0000  12 H 2.58
H1 0.0039 0.7450 0.2589  2 Pt 1.77
H2 0.2550 0.2589 0.5140  2 Pt 1.77
H3 0.2550 0.7411 0.9961  2 Pt 1.77
H4 0.2589 0.0039 0.7450  2 Pt 1.77
H5 0.2589 0.5140 0.2550  2 Pt 1.77
H6 0.4860 0.7450 0.7411  2 Pt 1.77
H7 0.5140 0.2550 0.2589  2 Pt 1.77
H8 0.7411 0.4860 0.7450  2 Pt 1.77
H9 0.7411 0.9961 0.2550  2 Pt 1.77
H10 0.7450 0.2589 0.0039  2 Pt 1.77
H11 0.7450 0.7411 0.4860  2 Pt 1.77
H12 0.9961 0.2550 0.7411  2 Pt 1.77
Pt1 0.0000 0.0000 0.5000  6 H 1.77
Pt2 0.0000 0.5000 0.0000  6 H 1.77
Pt3 0.5000 0.0000 0.0000  6 H 1.77
Pt4 0.5000 0.5000 0.5000  6 H 1.77

Computed properties:
Its calculated volume is 10.47 Å³/atom. The calculation puts the density of states at the Fermi level at 1.96 states/eV/f.u. As for the theoretical density: 8.74 g/cm³. For the uncorrected energy, the calculation gives -73.0 eV/f.u.


[4]
DFT (PBE-GGA) results for a relaxed Nd3H12Pt5 crystal.

Cell: 10.5151 10.5151 10.5151 Å, 109.47 109.47 109.47°
Last column: nearest neighbours and their distance in Å.
Fractional positions:
Nd1 0.1250 0.2500 0.3750  8 H 2.48-2.57
Nd2 0.1250 0.3750 0.7500  8 H 2.48-2.57
Nd3 0.2500 0.3750 0.1250  8 H 2.48-2.57
Nd4 0.2500 0.8750 0.6250  8 H 2.48-2.57
Nd5 0.3750 0.1250 0.2500  8 H 2.48-2.57
Nd6 0.3750 0.7500 0.1250  8 H 2.48-2.57
Nd7 0.6250 0.2500 0.8750  8 H 2.48-2.57
Nd8 0.6250 0.8750 0.7500  8 H 2.48-2.57
Nd9 0.7500 0.1250 0.3750  8 H 2.48-2.57
Nd10 0.7500 0.6250 0.8750  8 H 2.48-2.57
Nd11 0.8750 0.6250 0.2500  8 H 2.48-2.57
Nd12 0.8750 0.7500 0.6250  8 H 2.48-2.57
H1 0.0027 0.1804 0.0978  2 Pt 1.79-1.82
H2 0.0027 0.3224 0.9049  2 Pt 1.79-1.82
H3 0.0825 0.6804 0.6776  2 Pt 1.79-1.82
H4 0.0825 0.9022 0.4049  2 Pt 1.79-1.82
H5 0.0951 0.5978 0.4175  2 Pt 1.79-1.82
H6 0.0951 0.9973 0.6776  2 Pt 1.79-1.82
H7 0.0978 0.0027 0.1804  2 Pt 1.79-1.82
H8 0.0978 0.5951 0.9175  2 Pt 1.79-1.82
H9 0.1776 0.1804 0.5825  2 Pt 1.79-1.82
H10 0.1776 0.4973 0.5951  2 Pt 1.79-1.82
H11 0.1804 0.0978 0.0027  2 Pt 1.79-1.82
H12 0.1804 0.5825 0.1776  2 Pt 1.79-1.82
H13 0.3196 0.3224 0.9175  2 Pt 1.79-1.82
H14 0.3196 0.4973 0.4022  2 Pt 1.79-1.82
H15 0.3224 0.9049 0.0027  2 Pt 1.79-1.82
H16 0.3224 0.9175 0.3196  2 Pt 1.79-1.82
H17 0.4022 0.3196 0.4973  2 Pt 1.79-1.82
H18 0.4022 0.5825 0.9049  2 Pt 1.79-1.82
H19 0.4049 0.0825 0.9022  2 Pt 1.79-1.82
H20 0.4049 0.8224 0.5027  2 Pt 1.79-1.82
H21 0.4175 0.0951 0.5978  2 Pt 1.79-1.82
H22 0.4175 0.8224 0.8196  2 Pt 1.79-1.82
H23 0.4973 0.4022 0.3196  2 Pt 1.79-1.82
H24 0.4973 0.5951 0.1776  2 Pt 1.79-1.82
H25 0.5027 0.4049 0.8224  2 Pt 1.79-1.82
H26 0.5027 0.5978 0.6804  2 Pt 1.79-1.82
H27 0.5825 0.1776 0.1804  2 Pt 1.79-1.82
H28 0.5825 0.9049 0.4022  2 Pt 1.79-1.82
H29 0.5951 0.1776 0.4973  2 Pt 1.79-1.82
H30 0.5951 0.9175 0.0978  2 Pt 1.79-1.82
H31 0.5978 0.4175 0.0951  2 Pt 1.79-1.82
H32 0.5978 0.6804 0.5027  2 Pt 1.79-1.82
H33 0.6776 0.0825 0.6804  2 Pt 1.79-1.82
H34 0.6776 0.0951 0.9973  2 Pt 1.79-1.82
H35 0.6804 0.5027 0.5978  2 Pt 1.79-1.82
H36 0.6804 0.6776 0.0825  2 Pt 1.79-1.82
H37 0.8196 0.4175 0.8224  2 Pt 1.79-1.82
H38 0.8196 0.9022 0.9973  2 Pt 1.79-1.82
H39 0.8224 0.5027 0.4049  2 Pt 1.79-1.82
H40 0.8224 0.8196 0.4175  2 Pt 1.79-1.82
H41 0.9022 0.4049 0.0825  2 Pt 1.79-1.82
H42 0.9022 0.9973 0.8196  2 Pt 1.79-1.82
H43 0.9049 0.0027 0.3224  2 Pt 1.79-1.82
H44 0.9049 0.4022 0.5825  2 Pt 1.79-1.82
H45 0.9175 0.0978 0.5951  2 Pt 1.79-1.82
H46 0.9175 0.3196 0.3224  2 Pt 1.79-1.82
H47 0.9973 0.6776 0.0951  2 Pt 1.79-1.82
H48 0.9973 0.8196 0.9022  2 Pt 1.79-1.82
Pt1 0.0000 0.0000 0.0000  6 H 1.82
Pt2 0.0000 0.0000 0.5000  6 H 1.82
Pt3 0.0000 0.5000 0.0000  6 H 1.82
Pt4 0.0000 0.5000 0.5000  6 H 1.82
Pt5 0.1250 0.7500 0.8750  4 H 1.79
Pt6 0.1250 0.8750 0.2500  4 H 1.79
Pt7 0.2500 0.1250 0.8750  4 H 1.79
Pt8 0.2500 0.6250 0.3750  4 H 1.79
Pt9 0.3750 0.2500 0.6250  4 H 1.79
Pt10 0.3750 0.6250 0.7500  4 H 1.79
Pt11 0.5000 0.0000 0.0000  6 H 1.82
Pt12 0.5000 0.0000 0.5000  6 H 1.82
Pt13 0.5000 0.5000 0.0000  6 H 1.82
Pt14 0.5000 0.5000 0.5000  6 H 1.82
Pt15 0.6250 0.3750 0.2500  4 H 1.79
Pt16 0.6250 0.7500 0.3750  4 H 1.79
Pt17 0.7500 0.3750 0.6250  4 H 1.79
Pt18 0.7500 0.8750 0.1250  4 H 1.79
Pt19 0.8750 0.1250 0.7500  4 H 1.79
Pt20 0.8750 0.2500 0.1250  4 H 1.79

Computed properties:
Its calculated volume is 11.19 Å³/atom. The calculation puts the density of states at the Fermi level at 6.39 states/eV/f.u. As for the theoretical density: 10.54 g/cm³. For the uncorrected energy, the calculation gives -91.2 eV/f.u.


[5]
DFT (PBE-GGA) results for a relaxed NdHPt4 crystal.

Cell: 5.3453 5.3453 5.3453 Å, 60.00 60.00 60.00°
Last column: nearest neighbours and their distance in Å.
Fractional positions:
Nd1 0.0000 0.0000 0.0000  12 Pt 3.14, 4 H 3.27
H1 0.2500 0.2500 0.2500  12 Pt 3.13, 4 Nd 3.27
Pt1 0.1271 0.6243 0.6243  6 Pt 2.66-2.69
Pt2 0.6243 0.1271 0.6243  6 Pt 2.66-2.69
Pt3 0.6243 0.6243 0.1271  6 Pt 2.66-2.69
Pt4 0.6243 0.6243 0.6243  6 Pt 2.66-2.69

Computed properties:
Its calculated volume is 18.00 Å³/atom. The calculation puts the density of states at the Fermi level at 6.20 states/eV/f.u. As for the theoretical density: 14.23 g/cm³. For the uncorrected energy, the calculation gives -34.4 eV/f.u.


[6]
DFT (PBE-GGA) results for a relaxed NdHPt3 crystal.

Cell: 4.2488 4.2488 4.2488 Å, 90.00 90.00 90.00°
Last column: nearest neighbours and their distance in Å.
Fractional positions:
Nd1 0.0000 0.0000 0.0000  12 Pt 3.00
H1 0.5000 0.5000 0.5000  6 Pt 2.12
Pt1 0.0000 0.5000 0.5000  2 H 2.12
Pt2 0.5000 0.0000 0.5000  2 H 2.12
Pt3 0.5000 0.5000 0.0000  2 H 2.12

Computed properties:
Its calculated volume is 15.34 Å³/atom. The calculation puts the density of states at the Fermi level at 0.88 states/eV/f.u. As for the theoretical density: 15.82 g/cm³. For the uncorrected energy, the calculation gives -29.4 eV/f.u.


[7]
DFT (PBE-GGA) results for a relaxed NdH2Pt crystal.

Cell: 4.4810 4.4810 4.4810 Å, 56.97 56.97 56.97°
Last column: nearest neighbours and their distance in Å.
Fractional positions:
Nd1 0.0000 0.0000 0.0000  6 H 2.48
H1 0.3507 0.3507 0.3507  1 Pt 1.68
H2 0.6493 0.6493 0.6493  1 Pt 1.68
Pt1 0.5000 0.5000 0.5000  2 H 1.68

Computed properties:
Its calculated volume is 14.79 Å³/atom. The calculation puts the density of states at the Fermi level at 1.15 states/eV/f.u. As for the theoretical density: 9.58 g/cm³. For the uncorrected energy, the calculation gives -20.2 eV/f.u.


[8]
DFT (PBE-GGA) results for a relaxed NdH2Pt crystal.

Cell: 3.8231 4.4275 6.5464 Å, 90.00 106.93 90.00°
Last column: nearest neighbours and their distance in Å.
Fractional positions:
Nd1 0.1473 0.2500 0.2937  7 H 2.33-2.61
Nd2 0.8527 0.7500 0.7063  7 H 2.33-2.61
H1 0.0617 0.7500 0.1224  2 Pt 1.91
H2 0.2463 0.7500 0.4918  1 H 2.31, 4 Nd 2.33-2.54
H3 0.7537 0.2500 0.5082  1 H 2.31, 4 Nd 2.33-2.54
H4 0.9383 0.2500 0.8776  2 Pt 1.91
Pt1 0.4323 0.2500 0.8659  2 H 1.91
Pt2 0.5677 0.7500 0.1341  2 H 1.91

Computed properties:
Its calculated volume is 13.25 Å³/atom. The calculation puts the density of states at the Fermi level at 0.84 states/eV/f.u. As for the theoretical density: 10.69 g/cm³. For the uncorrected energy, the calculation gives -20.1 eV/f.u.